1.
A plane-wave DFT calculation with PBE was carried out for a relaxed InCoSn2Hg crystal.

Calculated values
space group: No. 123
relative energy among the computed polymorphs: 0 meV/atom

abc: 4.938 4.938 5.030
angles: 90.00 90.00 90.00
Positions (direct):
In (0.000, 0.000, 0.500)
Co (0.000, 0.000, 0.000)
Hg (0.500, 0.500, 0.500)
Sn (0.000, 0.500, 0.000)
Sn (0.500, 0.000, 0.000)


2.
A plane-wave DFT calculation with PBE was carried out for a relaxed In2CoSnHg crystal.

Calculated values
space group: No. 123
total energy: -3.39 eV/atom

abc: 5.029 5.029 4.862
angles: 90.00 90.00 90.00
Positions (direct):
In (0.000, 0.500, 0.000)
In (0.500, 0.000, 0.000)
Co (0.000, 0.000, 0.000)
Hg (0.500, 0.500, 0.500)
Sn (0.000, 0.000, 0.500)


3.
A plane-wave DFT calculation with PBE was carried out for a relaxed Th2InCoHg crystal.

Calculated values
space group: No. 11
total energy: -5.20 eV/atom

abc: 3.818 8.340 8.819
angles: 109.55 90.00 90.00
Positions (direct):
Th (0.750, 0.879, 0.610)
Th (0.750, 0.788, 0.985)
Th (0.250, 0.121, 0.390)
Th (0.250, 0.212, 0.015)
In (0.250, 0.689, 0.263)
In (0.750, 0.311, 0.737)
Co (0.250, 0.866, 0.805)
Co (0.750, 0.134, 0.195)
Hg (0.250, 0.538, 0.650)
Hg (0.750, 0.462, 0.350)


4.
A plane-wave DFT calculation with PBE was carried out for a relaxed Th3In3CoHg2 crystal.

Calculated values
space group: No. 189
total energy: -4.56 eV/atom

abc: 4.572 7.520 7.520
angles: 120.00 90.00 90.00
Positions (direct):
Th (0.000, 0.000, 0.386)
Th (0.000, 0.614, 0.614)
Th (0.000, 0.386, 0.000)
In (0.500, 0.765, 0.000)
In (0.500, 0.235, 0.235)
In (0.500, 0.000, 0.765)
Co (0.000, 0.000, 0.000)
Hg (0.500, 0.333, 0.667)
Hg (0.500, 0.667, 0.333)


| no. | magnetization (μB per cell) |
| --- | --- |
| 1 | 0.01 |
| 2 | 0.00 |
| 3 | 0.00 |
| 4 | 0.00 |